# KBa2Zr

KBa2Zr at its PBEsol-relaxed geometry (meta-GGA SCAN, Alexandria).

Lattice parameters (Å, degrees): 5.4441 5.4441 7.0211 112.81 112.81 90.00
Closest atoms and distances in Å follow each position.
Element x y z (fractional)
Ba1 0.0000 0.0000 0.0000  4 K 3.85, 4 Zr 4.00, 4 Ba 4.00
Ba2 0.7500 0.2500 0.5000  4 Zr 3.85, 4 Ba 4.00, 4 K 4.00
Zr1 0.2500 0.7500 0.5000  8 Ba 3.85-4.00, 4 K 4.00
K1 0.5000 0.5000 0.0000  8 Ba 3.85-4.00, 4 Zr 4.00

Computed properties:
Crystal system: tetragonal
Space group: No. 119
DOS at the Fermi energy in states/eV/f.u.: 5.89
Energy above the lowest structure with this stoichiometry in meV/atom: 55
Theoretical density in g/cm³: 3.86

***

# BaZn2Mo2

BaZn2Mo2 at its PBEsol-relaxed geometry (meta-GGA SCAN, Alexandria).

Lattice parameters (Å, degrees): 3.7861 3.7861 7.5881 104.45 104.45 90.00
Closest atoms and distances in Å follow each position.
Element x y z (fractional)
Zn1 0.6173 0.6173 0.2346  4 Mo 2.67
Zn2 0.3827 0.3827 0.7654  4 Mo 2.67
Mo1 0.7500 0.2500 0.5000  4 Zn 2.67, 4 Mo 2.68
Mo2 0.2500 0.7500 0.5000  4 Zn 2.67, 4 Mo 2.68
Ba1 0.0000 0.0000 0.0000  8 Zn 3.15

Computed properties:
Crystal system: tetragonal
Space group: No. 139
DOS at the Fermi energy in states/eV/f.u.: 4.35
Raw total energy in eV per atom: -26.8579
Theoretical density in g/cm³: 7.51

***

# Sr5ZnCd4

Sr5ZnCd4 at its PBEsol-relaxed geometry (meta-GGA SCAN, Alexandria).

Lattice parameters (Å, degrees): 3.9361 3.9361 19.7563 90.00 90.00 90.00
Closest atoms and distances in Å follow each position.
Element x y z (fractional)
Sr1 0.5000 0.5000 0.5000  8 Cd 3.43
Sr2 0.5000 0.5000 0.0945  4 Zn 3.35, 4 Cd 3.43, 1 Sr 3.73
Sr3 0.5000 0.5000 0.9055  4 Zn 3.35, 4 Cd 3.43, 1 Sr 3.73
Sr4 0.5000 0.5000 0.2975  8 Cd 3.43
Sr5 0.5000 0.5000 0.7025  8 Cd 3.43
Cd1 0.0000 0.0000 0.6012  8 Sr 3.43
Cd2 0.0000 0.0000 0.3988  8 Sr 3.43
Cd3 0.0000 0.0000 0.8039  8 Sr 3.43
Cd4 0.0000 0.0000 0.1961  8 Sr 3.43
Zn1 0.0000 0.0000 0.0000  8 Sr 3.35

Computed properties:
Crystal system: tetragonal
Space group: No. 123
DOS at the Fermi energy in states/eV/f.u.: 6.51
Raw total energy in eV per atom: -25.0130
Theoretical density in g/cm³: 5.17

***

# Tb2SeO2

Tb2SeO2 at its PBEsol-relaxed geometry (meta-GGA SCAN, Alexandria).

Lattice parameters (Å, degrees): 3.7968 3.7968 6.5756 106.78 106.78 90.00
Closest atoms and distances in Å follow each position.
Element x y z (fractional)
Tb1 0.3449 0.3449 0.6897  4 O 2.21
Tb2 0.6551 0.6551 0.3103  4 O 2.21
Se1 0.0000 0.0000 0.0000  8 Tb 3.27, 8 O 3.55
O1 0.2500 0.7500 0.5000  4 Tb 2.21
O2 0.7500 0.2500 0.5000  4 Tb 2.21

Computed properties:
Crystal system: tetragonal
Space group: No. 139
DOS at the Fermi energy in states/eV/f.u.: 0.00
Formation energy (no corrections) in eV per atom: -3.400
Theoretical density in g/cm³: 8.23